1.
VASP calculation (PBEsol) on a relaxed structure of Rb2Nb3Br9.

Output
**Crystal system**: monoclinic
**Magnetic moment**: 0.000 μB/f.u.

a = 10.2244 Å, b = 10.2244 Å, c = 10.1750 Å
α = 104.08°, β = 104.08°, γ = 114.74°
Positions (direct):
Rb 0.0563 0.7405 0.6764
Rb 0.2595 0.9437 0.3236
Rb 0.7405 0.0563 0.6764
Rb 0.9437 0.2595 0.3236
Nb 0.2845 0.4557 0.8638
Nb 0.3941 0.3941 0.1269
Nb 0.4557 0.2845 0.8638
Nb 0.5443 0.7155 0.1362
Nb 0.6059 0.6059 0.8731
Nb 0.7155 0.5443 0.1362
Br 0.0051 0.6040 0.3192
Br 0.1071 0.3189 0.9896
Br 0.1800 0.1800 0.6670
Br 0.2538 0.2538 0.2938
Br 0.2900 0.7100 0.0000
Br 0.3189 0.1071 0.9896
Br 0.3654 0.5747 0.6799
Br 0.3960 0.9949 0.6808
Br 0.4253 0.6346 0.3201
Br 0.5747 0.3654 0.6799
Br 0.6040 0.0051 0.3192
Br 0.6346 0.4253 0.3201
Br 0.6811 0.8929 0.0104
Br 0.7100 0.2900 0.0000
Br 0.7462 0.7462 0.7062
Br 0.8200 0.8200 0.3330
Br 0.8929 0.6811 0.0104
Br 0.9949 0.3960 0.6808

***

2.
VASP calculation (PBEsol) on a relaxed structure of RbNb4Br11.

Output
**DOS(E_F)**: 2.90 states/eV/cell
**Crystal system**: orthorhombic
**Magnetic moment**: 0.000 μB/f.u.

a = 16.7533 Å, b = 7.2395 Å, c = 6.9927 Å
α = 90.00°, β = 90.00°, γ = 90.00°
Positions (direct):
Rb 0.2500 0.0000 0.0311
Rb 0.7500 0.0000 0.9689
Nb 0.0000 0.2901 0.5000
Nb 0.0000 0.7099 0.5000
Nb 0.1400 0.5000 0.3782
Nb 0.3600 0.5000 0.3782
Nb 0.5000 0.2901 0.5000
Nb 0.5000 0.7099 0.5000
Nb 0.6400 0.5000 0.6218
Nb 0.8600 0.5000 0.6218
Br 0.0780 0.2438 0.1776
Br 0.0780 0.7562 0.1776
Br 0.0862 0.0000 0.6359
Br 0.0866 0.5000 0.7206
Br 0.2500 0.2614 0.5152
Br 0.2500 0.5000 0.0856
Br 0.2500 0.7386 0.5152
Br 0.4134 0.5000 0.7206
Br 0.4138 0.0000 0.6359
Br 0.4220 0.2438 0.1776
Br 0.4220 0.7562 0.1776
Br 0.5780 0.2438 0.8224
Br 0.5780 0.7562 0.8224
Br 0.5862 0.0000 0.3641
Br 0.5866 0.5000 0.2794
Br 0.7500 0.2614 0.4848
Br 0.7500 0.5000 0.9144
Br 0.7500 0.7386 0.4848
Br 0.9134 0.5000 0.2794
Br 0.9138 0.0000 0.3641
Br 0.9220 0.2438 0.8224
Br 0.9220 0.7562 0.8224

***

3.
VASP calculation (PBEsol) on a relaxed structure of NbReSeBr2.

Output
**DOS(E_F)**: 6.61 states/eV/cell
**Crystal system**: tetragonal
**Magnetic moment**: 3.065 μB/f.u.

a = 5.0647 Å, b = 5.0647 Å, c = 4.6733 Å
α = 90.00°, β = 90.00°, γ = 90.00°
Positions (direct):
Nb 0.0000 0.0000 0.0000
Re 0.5000 0.5000 0.5000
Se 0.5000 0.5000 0.0000
Br 0.0000 0.5000 0.5000
Br 0.5000 0.0000 0.5000

***

4.
VASP calculation (PBEsol) on a relaxed structure of NbSbRu2Br.

Output
**DOS(E_F)**: 3.76 states/eV/cell
**Crystal system**: tetragonal
**Magnetic moment**: 0.982 μB/f.u.

a = 4.7553 Å, b = 4.7553 Å, c = 5.3011 Å
α = 90.00°, β = 90.00°, γ = 90.00°
Positions (direct):
Nb 0.0000 0.0000 0.0000
Sb 0.5000 0.5000 0.5000
Ru 0.0000 0.5000 0.5000
Ru 0.5000 0.0000 0.5000
Br 0.5000 0.5000 0.0000

***

5.
VASP calculation (PBEsol) on a relaxed structure of NbSBr2.

Output
**DOS(E_F)**: 4.44 states/eV/cell
**Crystal system**: tetragonal
**Magnetic moment**: 0.908 μB/f.u.

a = 7.0904 Å, b = 7.0904 Å, c = 7.0904 Å
α = 96.29°, β = 96.29°, γ = 141.34°
Positions (direct):
Nb 0.0000 0.0000 0.0000
Nb 0.7500 0.2500 0.5000
S 0.2500 0.7500 0.5000
S 0.5000 0.5000 0.0000
Br 0.3750 0.0142 0.1392
Br 0.7642 0.6250 0.6392
Br 0.8750 0.2358 0.8608
Br 0.9858 0.1250 0.3608

***

6.
VASP calculation (PBEsol) on a relaxed structure of NbSBr.

Output
**DOS(E_F)**: 10.20 states/eV/cell
**Crystal system**: cubic
**Magnetic moment**: 0.120 μB/f.u.

a = 7.1722 Å, b = 7.1722 Å, c = 7.1722 Å
α = 60.00°, β = 60.00°, γ = 60.00°
Positions (direct):
Nb 0.3978 0.3978 0.3978
Nb 0.3978 0.3978 0.8066
Nb 0.3978 0.8066 0.3978
Nb 0.8066 0.3978 0.3978
S 0.1054 0.6315 0.6315
S 0.6315 0.1054 0.6315
S 0.6315 0.6315 0.1054
S 0.6315 0.6315 0.6315
Br 0.1267 0.1267 0.1267
Br 0.1267 0.1267 0.6198
Br 0.1267 0.6198 0.1267
Br 0.6198 0.1267 0.1267

***

7.
VASP calculation (PBEsol) on a relaxed structure of NbSBr3.

Output
**DOS(E_F)**: 6.67 states/eV/cell
**Crystal system**: cubic
**Magnetic moment**: 3.519 μB/f.u.

a = 5.0443 Å, b = 5.0443 Å, c = 5.0443 Å
α = 90.00°, β = 90.00°, γ = 90.00°
Positions (direct):
Nb 0.0000 0.0000 0.0000
S 0.5000 0.5000 0.5000
Br 0.0000 0.5000 0.5000
Br 0.5000 0.0000 0.5000
Br 0.5000 0.5000 0.0000

***

8.
VASP calculation (PBEsol) on a relaxed structure of TaNb2SBr.

Output
**DOS(E_F)**: 6.16 states/eV/cell
**Crystal system**: tetragonal
**Magnetic moment**: 0.004 μB/f.u.

a = 4.9557 Å, b = 4.9557 Å, c = 4.8081 Å
α = 90.00°, β = 90.00°, γ = 90.00°
Positions (direct):
Ta 0.0000 0.0000 0.0000
Nb 0.0000 0.5000 0.0000
Nb 0.5000 0.0000 0.0000
S 0.5000 0.5000 0.5000
Br 0.0000 0.0000 0.5000

***

9.
VASP calculation (PBEsol) on a relaxed structure of Nb2Tl5S4Br9.

Output
**Crystal system**: orthorhombic
**Magnetic moment**: 0.000 μB/f.u.

a = 9.9977 Å, b = 9.9977 Å, c = 9.9977 Å
α = 138.51°, β = 120.18°, γ = 75.41°
Positions (direct):
Nb 0.0908 0.0908 0.0000
Nb 0.9092 0.9092 0.0000
Tl 0.1190 0.3356 0.7834
Tl 0.4479 0.6644 0.7834
Tl 0.5000 0.0000 0.5000
Tl 0.5521 0.3356 0.2166
Tl 0.8810 0.6644 0.2166
S 0.1009 0.2507 0.3516
S 0.1009 0.7493 0.8502
S 0.8991 0.2507 0.1498
S 0.8991 0.7493 0.6484
Br 0.1304 0.8644 0.2660
Br 0.2162 0.4674 0.2511
Br 0.2162 0.9651 0.7489
Br 0.4017 0.1356 0.2660
Br 0.5000 0.5000 0.0000
Br 0.5983 0.8644 0.7340
Br 0.7838 0.0349 0.2511
Br 0.7838 0.5326 0.7489
Br 0.8696 0.1356 0.7340

***

10.
VASP calculation (PBEsol) on a relaxed structure of ScNbBr3.

Output
**DOS(E_F)**: 7.16 states/eV/cell
**Crystal system**: cubic
**Magnetic moment**: 4.392 μB/f.u.

a = 5.1677 Å, b = 5.1677 Å, c = 5.1677 Å
α = 90.00°, β = 90.00°, γ = 90.00°
Positions (direct):
Sc 0.0000 0.0000 0.0000
Nb 0.5000 0.5000 0.5000
Br 0.0000 0.0000 0.5000
Br 0.0000 0.5000 0.0000
Br 0.5000 0.0000 0.0000

***

11.
VASP calculation (PBEsol) on a relaxed structure of ScNbBr2.

Output
**DOS(E_F)**: 3.04 states/eV/cell
**Crystal system**: trigonal
**Magnetic moment**: 0.000 μB/f.u.

a = 9.2658 Å, b = 9.2658 Å, c = 9.2658 Å
α = 20.10°, β = 20.10°, γ = 20.10°
Positions (direct):
Sc 0.0000 0.0000 0.0000
Nb 0.5000 0.5000 0.5000
Br 0.4040 0.4040 0.4040
Br 0.5960 0.5960 0.5960

***

Values for DFT total energy, eV per atom, ordered as above
-4.83, -5.09, -5.22, -5.68, -5.26, -6.75, -3.32, -6.70, -4.28, -4.64, -5.70
Values for ΔE_f (raw), eV per atom, ordered as above
-1.1643, -1.0302, 1.1336, 1.8339, -0.5274, -1.0612, 0.8449, 1.3866, -0.8234, -0.0363, -0.4076